An optimized crystal structure of HfGa2Sn. Source: Alexandria, functional PBE.

Calculated values
Formation energy from the elements, meV/atom: 5
Energy, eV per atom: -4.9979
Theoretical density, g/cm3: 8.22

```
data_HfGa2Sn
_cell_length_a 6.1670
_cell_length_b 6.1670
_cell_length_c 6.1670
_cell_angle_alpha 40.22
_cell_angle_beta 40.22
_cell_angle_gamma 40.22
_space_group_name_H-M_alt 'P 1'
_space_group_IT_number 1
_space_group_name_Hall 'P 1'
loop_
_atom_site_label
_atom_site_type_symbol
_atom_site_fract_x
_atom_site_fract_y
_atom_site_fract_z
_atom_site_occupancy
Hf1 Hf 0.0000 0.0000 0.0000 1
Ga1 Ga 0.4080 0.4080 0.4080 1
Ga2 Ga 0.5860 0.5860 0.5860 1
Sn1 Sn 0.8207 0.8207 0.8207 1
```

An optimized crystal structure of Hf8Ga2Sn. Source: Alexandria, functional PBE.

Calculated values
Formation energy from the elements, meV/atom: -127
Energy, eV per atom: -8.2804
Theoretical density, g/cm3: 11.70

```
data_Hf8Ga2Sn
_cell_length_a 7.3950
_cell_length_b 7.3950
_cell_length_c 5.2098
_cell_angle_alpha 100.55
_cell_angle_beta 100.55
_cell_angle_gamma 116.41
_space_group_name_H-M_alt 'P 1'
_space_group_IT_number 1
_space_group_name_Hall 'P 1'
loop_
_atom_site_label
_atom_site_type_symbol
_atom_site_fract_x
_atom_site_fract_y
_atom_site_fract_z
_atom_site_occupancy
Hf1 Hf 0.0834 0.3204 0.6223 1
Hf2 Hf 0.2379 0.7621 0.0000 1
Hf3 Hf 0.3204 0.0834 0.6223 1
Hf4 Hf 0.4131 0.4131 0.1999 1
Hf5 Hf 0.5869 0.5869 0.8001 1
Hf6 Hf 0.6796 0.9166 0.3777 1
Hf7 Hf 0.7621 0.2379 0.0000 1
Hf8 Hf 0.9166 0.6796 0.3777 1
Ga1 Ga 0.3068 0.6932 0.5000 1
Ga2 Ga 0.6932 0.3068 0.5000 1
Sn1 Sn 0.0000 0.0000 0.0000 1
```

An optimized crystal structure of HfGa3Sn. Source: Alexandria, functional PBE.

Calculated values
Formation energy from the elements, meV/atom: 502
Energy, eV per atom: -4.1058
Theoretical density, g/cm3: 5.97

```
data_HfGa3Sn
_cell_length_a 5.2023
_cell_length_b 5.2023
_cell_length_c 5.2023
_cell_angle_alpha 90.00
_cell_angle_beta 90.00
_cell_angle_gamma 90.00
_space_group_name_H-M_alt 'P 1'
_space_group_IT_number 1
_space_group_name_Hall 'P 1'
loop_
_atom_site_label
_atom_site_type_symbol
_atom_site_fract_x
_atom_site_fract_y
_atom_site_fract_z
_atom_site_occupancy
Hf1 Hf 0.0000 0.0000 0.0000 1
Ga1 Ga 0.0000 0.0000 0.5000 1
Ga2 Ga 0.0000 0.5000 0.0000 1
Ga3 Ga 0.5000 0.0000 0.0000 1
Sn1 Sn 0.5000 0.5000 0.5000 1
```

An optimized crystal structure of Hf4GaSn2. Source: Alexandria, functional PBE.

Calculated values
Formation energy from the elements, meV/atom: 225
Energy, eV per atom: -7.0386
Theoretical density, g/cm3: 9.75

```
data_Hf4GaSn2
_cell_length_a 8.2827
_cell_length_b 8.2827
_cell_length_c 8.2827
_cell_angle_alpha 146.33
_cell_angle_beta 146.33
_cell_angle_gamma 48.35
_space_group_name_H-M_alt 'P 1'
_space_group_IT_number 1
_space_group_name_Hall 'P 1'
loop_
_atom_site_label
_atom_site_type_symbol
_atom_site_fract_x
_atom_site_fract_y
_atom_site_fract_z
_atom_site_occupancy
Hf1 Hf 0.0000 0.5000 0.5000 1
Hf2 Hf 0.1686 0.1686 0.0000 1
Hf3 Hf 0.5000 0.0000 0.5000 1
Hf4 Hf 0.8314 0.8314 0.0000 1
Ga1 Ga 0.0000 0.0000 0.0000 1
Sn1 Sn 0.3615 0.3615 0.0000 1
Sn2 Sn 0.6385 0.6385 0.0000 1
```

An optimized crystal structure of Hf4Ga5Sn. Source: Alexandria, functional PBE.

Calculated values
Formation energy from the elements, meV/atom: -88
Energy, eV per atom: -5.9827
Theoretical density, g/cm3: 9.82

```
data_Hf4Ga5Sn
_cell_length_a 6.5885
_cell_length_b 6.5885
_cell_length_c 6.5885
_cell_angle_alpha 100.53
_cell_angle_beta 100.53
_cell_angle_gamma 129.38
_space_group_name_H-M_alt 'P 1'
_space_group_IT_number 1
_space_group_name_Hall 'P 1'
loop_
_atom_site_label
_atom_site_type_symbol
_atom_site_fract_x
_atom_site_fract_y
_atom_site_fract_z
_atom_site_occupancy
Hf1 Hf 0.0680 0.6846 0.7526 1
Hf2 Hf 0.3154 0.0680 0.3833 1
Hf3 Hf 0.6846 0.9320 0.6167 1
Hf4 Hf 0.9320 0.3154 0.2474 1
Ga1 Ga 0.2483 0.4053 0.6385 1
Ga2 Ga 0.4053 0.7667 0.1570 1
Ga3 Ga 0.6098 0.2483 0.8430 1
Ga4 Ga 0.7548 0.7548 0.0000 1
Ga5 Ga 0.7667 0.6098 0.3615 1
Sn1 Sn 0.2188 0.2188 0.0000 1
```

An optimized crystal structure of Hf5Ga2Sn. Source: Alexandria, functional PBE.

Calculated values
Formation energy from the elements, meV/atom: -403
Energy, eV per atom: -7.8813
Theoretical density, g/cm3: 11.71

```
data_Hf5Ga2Sn
_cell_length_a 8.0518
_cell_length_b 8.0518
_cell_length_c 8.0518
_cell_angle_alpha 126.49
_cell_angle_beta 126.49
_cell_angle_gamma 79.09
_space_group_name_H-M_alt 'P 1'
_space_group_IT_number 1
_space_group_name_Hall 'P 1'
loop_
_atom_site_label
_atom_site_type_symbol
_atom_site_fract_x
_atom_site_fract_y
_atom_site_fract_z
_atom_site_occupancy
Hf1 Hf 0.0000 0.0000 0.0000 1
Hf2 Hf 0.0056 0.5056 0.8120 1
Hf3 Hf 0.1936 0.0056 0.5000 1
Hf4 Hf 0.3064 0.8064 0.8120 1
Hf5 Hf 0.4944 0.3064 0.5000 1
Hf6 Hf 0.5000 0.5000 0.0000 1
Hf7 Hf 0.5056 0.6936 0.5000 1
Hf8 Hf 0.6936 0.1936 0.1880 1
Hf9 Hf 0.8064 0.9944 0.5000 1
Hf10 Hf 0.9944 0.4944 0.1880 1
Ga1 Ga 0.1392 0.3608 0.5000 1
Ga2 Ga 0.3608 0.8608 0.2216 1
Ga3 Ga 0.6392 0.1392 0.7784 1
Ga4 Ga 0.8608 0.6392 0.5000 1
Sn1 Sn 0.2500 0.2500 0.0000 1
Sn2 Sn 0.7500 0.7500 0.0000 1
```

An optimized crystal structure of HfGa3Sn. Source: Alexandria, functional PBE.

Calculated values
Formation energy from the elements, meV/atom: 953
Energy, eV per atom: -3.6543
Theoretical density, g/cm3: 6.30

```
data_HfGa3Sn
_cell_length_a 5.1093
_cell_length_b 5.1093
_cell_length_c 5.1093
_cell_angle_alpha 90.00
_cell_angle_beta 90.00
_cell_angle_gamma 90.00
_space_group_name_H-M_alt 'P 1'
_space_group_IT_number 1
_space_group_name_Hall 'P 1'
loop_
_atom_site_label
_atom_site_type_symbol
_atom_site_fract_x
_atom_site_fract_y
_atom_site_fract_z
_atom_site_occupancy
Hf1 Hf 0.0000 0.0000 0.0000 1
Ga1 Ga 0.0000 0.5000 0.5000 1
Ga2 Ga 0.5000 0.0000 0.5000 1
Ga3 Ga 0.5000 0.5000 0.0000 1
Sn1 Sn 0.5000 0.5000 0.5000 1
```

An optimized crystal structure of Hf2GaSn. Source: Alexandria, functional PBE.

Calculated values
Formation energy from the elements, meV/atom: -125
Energy, eV per atom: -6.8590
Theoretical density, g/cm3: 10.97

```
data_Hf2GaSn
_cell_length_a 4.8880
_cell_length_b 4.8880
_cell_length_c 4.8880
_cell_angle_alpha 60.00
_cell_angle_beta 60.00
_cell_angle_gamma 60.00
_space_group_name_H-M_alt 'P 1'
_space_group_IT_number 1
_space_group_name_Hall 'P 1'
loop_
_atom_site_label
_atom_site_type_symbol
_atom_site_fract_x
_atom_site_fract_y
_atom_site_fract_z
_atom_site_occupancy
Hf1 Hf 0.2500 0.2500 0.2500 1
Hf2 Hf 0.7500 0.7500 0.7500 1
Ga1 Ga 0.0000 0.0000 0.0000 1
Sn1 Sn 0.5000 0.5000 0.5000 1
```

An optimized crystal structure of Hf2GaSn. Source: Alexandria, functional PBE.

Calculated values
Formation energy from the elements, meV/atom: -88
Energy, eV per atom: -6.8226
Theoretical density, g/cm3: 10.35

```
data_Hf2GaSn
_cell_length_a 6.1756
_cell_length_b 6.1756
_cell_length_c 6.1756
_cell_angle_alpha 103.74
_cell_angle_beta 103.74
_cell_angle_gamma 121.67
_space_group_name_H-M_alt 'P 1'
_space_group_IT_number 1
_space_group_name_Hall 'P 1'
loop_
_atom_site_label
_atom_site_type_symbol
_atom_site_fract_x
_atom_site_fract_y
_atom_site_fract_z
_atom_site_occupancy
Hf1 Hf 0.1113 0.6250 0.9863 1
Hf2 Hf 0.3750 0.3613 0.4863 1
Hf3 Hf 0.6387 0.1250 0.0137 1
Hf4 Hf 0.8750 0.8887 0.5137 1
Ga1 Ga 0.0000 0.0000 0.0000 1
Ga2 Ga 0.7500 0.2500 0.5000 1
Sn1 Sn 0.2500 0.7500 0.5000 1
Sn2 Sn 0.5000 0.5000 0.0000 1
```

An optimized crystal structure of Hf2GaSn. Source: Alexandria, functional PBE.

Calculated values
Formation energy from the elements, meV/atom: -316
Energy, eV per atom: -7.0498
Theoretical density, g/cm3: 11.20

```
data_Hf2GaSn
_cell_length_a 4.3640
_cell_length_b 4.3640
_cell_length_c 4.2479
_cell_angle_alpha 90.00
_cell_angle_beta 90.00
_cell_angle_gamma 90.00
_space_group_name_H-M_alt 'P 1'
_space_group_IT_number 1
_space_group_name_Hall 'P 1'
loop_
_atom_site_label
_atom_site_type_symbol
_atom_site_fract_x
_atom_site_fract_y
_atom_site_fract_z
_atom_site_occupancy
Hf1 Hf 0.0000 0.5000 0.0000 1
Hf2 Hf 0.5000 0.0000 0.0000 1
Ga1 Ga 0.0000 0.0000 0.5000 1
Sn1 Sn 0.5000 0.5000 0.5000 1
```

An optimized crystal structure of HfGa2Sn. Source: Alexandria, functional PBE.

Calculated values
Formation energy from the elements, meV/atom: -169
Energy, eV per atom: -5.1712
Theoretical density, g/cm3: 9.23

```
data_HfGa2Sn
_cell_length_a 4.4433
_cell_length_b 4.4433
_cell_length_c 3.9776
_cell_angle_alpha 90.00
_cell_angle_beta 90.00
_cell_angle_gamma 90.00
_space_group_name_H-M_alt 'P 1'
_space_group_IT_number 1
_space_group_name_Hall 'P 1'
loop_
_atom_site_label
_atom_site_type_symbol
_atom_site_fract_x
_atom_site_fract_y
_atom_site_fract_z
_atom_site_occupancy
Hf1 Hf 0.0000 0.0000 0.0000 1
Ga1 Ga 0.0000 0.5000 0.5000 1
Ga2 Ga 0.5000 0.0000 0.5000 1
Sn1 Sn 0.5000 0.5000 0.0000 1
```

An optimized crystal structure of Hf6Ga5Sn. Source: Alexandria, functional PBE.

Calculated values
Formation energy from the elements, meV/atom: -224
Energy, eV per atom: -6.7956
Theoretical density, g/cm3: 10.40

```
data_Hf6Ga5Sn
_cell_length_a 5.9936
_cell_length_b 5.9936
_cell_length_c 7.2339
_cell_angle_alpha 96.13
_cell_angle_beta 96.13
_cell_angle_gamma 106.13
_space_group_name_H-M_alt 'P 1'
_space_group_IT_number 1
_space_group_name_Hall 'P 1'
loop_
_atom_site_label
_atom_site_type_symbol
_atom_site_fract_x
_atom_site_fract_y
_atom_site_fract_z
_atom_site_occupancy
Hf1 Hf 0.0622 0.4076 0.7328 1
Hf2 Hf 0.2296 0.2296 0.2433 1
Hf3 Hf 0.4076 0.0622 0.7328 1
Hf4 Hf 0.5924 0.9378 0.2672 1
Hf5 Hf 0.7704 0.7704 0.7567 1
Hf6 Hf 0.9378 0.5924 0.2672 1
Ga1 Ga 0.0000 0.0000 0.5000 1
Ga2 Ga 0.1805 0.8195 0.0000 1
Ga3 Ga 0.3552 0.6448 0.5000 1
Ga4 Ga 0.6448 0.3552 0.5000 1
Ga5 Ga 0.8195 0.1805 0.0000 1
Sn1 Sn 0.5000 0.5000 0.0000 1
```

Among the records above, which one has the lowest formation energy from the elements? Hf5Ga2Sn

What is the theoretical density in the twelfth record? 10.40 g/cm3

What did the third record say?
An optimized crystal structure of HfGa3Sn. Source: Alexandria, functional PBE.

Calculated values
Formation energy from the elements, meV/atom: 502
Energy, eV per atom: -4.1058
Theoretical density, g/cm3: 5.97

```
data_HfGa3Sn
_cell_length_a 5.2023
_cell_length_b 5.2023
_cell_length_c 5.2023
_cell_angle_alpha 90.00
_cell_angle_beta 90.00
_cell_angle_gamma 90.00
_space_group_name_H-M_alt 'P 1'
_space_group_IT_number 1
_space_group_name_Hall 'P 1'
loop_
_atom_site_label
_atom_site_type_symbol
_atom_site_fract_x
_atom_site_fract_y
_atom_site_fract_z
_atom_site_occupancy
Hf1 Hf 0.0000 0.0000 0.0000 1
Ga1 Ga 0.0000 0.0000 0.5000 1
Ga2 Ga 0.0000 0.5000 0.0000 1
Ga3 Ga 0.5000 0.0000 0.0000 1
Sn1 Sn 0.5000 0.5000 0.5000 1
```